Density functional theory data (GGA+U) for a relaxed structure of CrCdNO2.

The structure in CIF format:
```
data_CrCdNO2
_symmetry_space_group_name_H-M 'P 4/m m m'
_symmetry_Int_Tables_number 123
_symmetry_space_group_name_Hall '-P 4 2'
_cell_length_a 4.173
_cell_length_b 4.173
_cell_length_c 4.083
_cell_angle_alpha 90.00
_cell_angle_beta 90.00
_cell_angle_gamma 90.00
loop_
_atom_site_label
_atom_site_type_symbol
_atom_site_fract_x
_atom_site_fract_y
_atom_site_fract_z
Cr1 Cr 0.000 0.000 0.000
Cd1 Cd 0.500 0.500 0.500
N1 N 0.500 0.500 0.000
O1 O 0.000 0.500 0.500
```

## Properties
total DFT energy (no corrections) = -3.96 eV per atom